1.
Crystalline SrMnBr2 at its relaxed geometry. Source: Alexandria via LeMat-Bulk, functional PBE.

Results
**E_tot**: -4.25 eV per atom
**Formation energy without anion corrections**: -0.71 eV/atom
**Polymorph energy (0 for the lowest one)**: 24 meV/atom
**Calculated volume**: 129.6 Å³/cell

Lattice parameters (Å, degrees): 3.749 3.749 9.224 90.00 90.00 90.00
Space group P4mm (No. 99)
Symmetry-distinct sites (fractional):
Sr 0.000 0.000 0.000 x1
Mn 0.500 0.500 0.717 x1
Br 0.000 0.000 0.587 x1
Br 0.500 0.500 0.182 x1



2.
Crystalline Sr2MnBr6 at its relaxed geometry. Source: Alexandria via LeMat-Bulk, functional PBE.

Results
**E_tot**: -4.17 eV per atom
**Formation energy without anion corrections**: -1.67 eV/atom
**Calculated volume**: 563.0 Å³/cell

Lattice parameters (Å, degrees): 7.026 7.947 12.209 90.00 124.33 90.00
Space group P2_1/c (No. 14)
Symmetry-distinct sites (fractional):
Sr 0.215 0.110 0.254 x4
Mn 0.500 0.000 0.000 x2
Br 0.121 0.167 0.939 x4
Br 0.279 0.695 0.941 x4
Br 0.377 0.032 0.752 x4



3.
Crystalline SrMnBr6 at its relaxed geometry. Source: Alexandria via LeMat-Bulk, functional PBE.

Results
**E_tot**: -3.66 eV per atom
**Formation energy without anion corrections**: -1.05 eV/atom
**Calculated volume**: 252.7 Å³/cell

Lattice parameters (Å, degrees): 6.817 6.822 7.402 90.03 117.38 119.97
Space group P-1 (No. 2)
Symmetry-distinct sites (fractional):
Sr 0.000 0.000 0.000 x1
Mn 0.000 0.500 0.500 x1
Br 0.166 0.466 0.275 x2
Br 0.190 0.301 0.725 x2
Br 0.424 0.890 0.725 x2



4.
Crystalline SrMnTlBr5 at its relaxed geometry. Source: Alexandria via LeMat-Bulk, functional PBE.

Results
**E_tot**: -3.99 eV per atom
**Formation energy without anion corrections**: -1.29 eV/atom
**Calculated volume**: 1248.6 Å³/cell

Lattice parameters (Å, degrees): 9.714 12.995 10.806 90.00 113.75 90.00
Space group C2/c (No. 15)
Symmetry-distinct sites (fractional):
Sr 0.000 0.000 0.000 x4
Mn 0.000 0.319 0.250 x4
Tl 0.000 0.347 0.750 x4
Br 0.000 0.098 0.750 x4
Br 0.128 0.209 0.136 x8
Br 0.168 0.436 0.434 x8



5.
Crystalline SrMn2TlBr8 at its relaxed geometry. Source: Alexandria via LeMat-Bulk, functional PBE.

Results
**E_tot**: -4.00 eV per atom
**Formation energy without anion corrections**: -1.02 eV/atom
**Calculated volume**: 437.9 Å³/cell

Lattice parameters (Å, degrees): 7.0738 7.0738 10.1054 90.00 90.00 120.00
Space group P-3 (No. 147)
Symmetry-distinct sites (fractional):
Sr 0.0000 0.0000 0.0000 x1
Mn 0.3333 0.6667 0.2597 x2
Tl 0.0000 0.0000 0.5000 x1
Br 0.0018 0.6676 0.8057 x6
Br 0.3333 0.6667 0.4950 x2



6.
Crystalline Sr2MnTlBr8 at its relaxed geometry. Source: Alexandria via LeMat-Bulk, functional PBE.

Results
**E_tot**: -3.72 eV per atom
**Formation energy without anion corrections**: -1.36 eV/atom
**Calculated volume**: 444.6 Å³/cell

Lattice parameters (Å, degrees): 6.682 9.169 7.265 90.00 92.64 90.00
Space group P2/m (No. 10)
Symmetry-distinct sites (fractional):
Sr 0.000 0.237 0.000 x2
Mn 0.500 0.000 0.500 x1
Tl 0.500 0.500 0.500 x1
Br 0.212 0.500 0.843 x2
Br 0.254 0.000 0.830 x2
Br 0.279 0.190 0.366 x4



no.,calculated density (g/cm3)
1,3.87
2,4.19
3,4.09
4,3.97
5,3.95
6,4.01